# 1
This record from the Alexandria database describes a relaxed Ti2BeGa2 crystal. The functional is GGA-PBE.

a b c (Å): 6.1359 6.1359 3.9955
angles (deg): 90.00 90.00 90.00
Last column: nearest neighbours and their distance in Å.
Space group P4/mbm (No. 127)
Asymmetric unit:
Ti: 0.1674 0.3326 0.0000 x4  6 Ga 2.60-2.76, 1 Ti 2.90
Be: 0.0000 0.0000 0.5000 x2  4 Ga 2.36
Ga: 0.1417 0.6417 0.5000 x4  2 Be 2.36, 1 Ga 2.46, 2 Ti 2.60

Magnetic moment = 0.00 μB/atom
Energy above the lowest structure with this stoichiometry = 0.53 eV per formula unit
ΔE_f = -0.261 eV per atom

---

# 2
This record from the Alexandria database describes a relaxed KInCoSn2 crystal. The functional is GGA-PBE.

a b c (Å): 5.0465 5.0465 5.0754
angles (deg): 90.00 90.00 90.00
Last column: nearest neighbours and their distance in Å.
Space group P4/mmm (No. 123)
Asymmetric unit:
K: 0.0000 0.0000 0.0000 x1  4 In 3.57, 8 Sn 3.58
In: 0.5000 0.5000 0.0000 x1  2 Co 2.54
Co: 0.5000 0.5000 0.5000 x1  4 Sn 2.52, 2 In 2.54
Sn: 0.0000 0.5000 0.5000 x2  2 Co 2.52

Magnetic moment = 0.02 μB/atom
ΔE_f = 0.006 eV per atom

---

# 3
This record from the Alexandria database describes a relaxed LiMgBrCl2 crystal. The functional is GGA-PBE.

a b c (Å): 6.8577 3.8787 9.6005
angles (deg): 90.00 100.45 90.00
Last column: nearest neighbours and their distance in Å.
Space group P2_1/m (No. 11)
Asymmetric unit:
Li: 0.0995 0.2500 0.3926 x2  3 Cl 2.38-2.48, 1 Br 2.52
Mg: 0.4232 0.2500 0.8319 x2  4 Cl 2.53-2.57, 2 Br 2.67
Br: 0.4261 0.2500 0.3083 x2  1 Li 2.52, 2 Mg 2.67
Cl: 0.1029 0.2500 0.6510 x2  3 Li 2.38-2.48, 1 Mg 2.54
Cl: 0.2885 0.7500 0.9625 x2  3 Mg 2.53-2.57

Magnetic moment = 0.00 μB/atom
ΔE_f (raw) = -1.712 eV per atom

---

# 4
This record from the Alexandria database describes a relaxed KTc2NiTe crystal. The functional is GGA-PBE.

a b c (Å): 5.0563 5.0563 4.8062
angles (deg): 90.00 90.00 90.00
Last column: nearest neighbours and their distance in Å.
Space group P4/mmm (No. 123)
Asymmetric unit:
K: 0.0000 0.0000 0.0000 x1  8 Tc 3.49, 4 Ni 3.58
Tc: 0.0000 0.5000 0.5000 x2  2 Te 2.53
Ni: 0.5000 0.5000 0.0000 x1  2 Te 2.40
Te: 0.5000 0.5000 0.5000 x1  2 Ni 2.40, 4 Tc 2.53

Magnetic moment = 0.78 μB/atom
ΔE_f (raw) = 1.308 eV per atom

---

# 5
This record from the Alexandria database describes a relaxed BaAcZnAg crystal. The functional is GGA-PBE.

a b c (Å): 8.0221 8.0221 8.0221
angles (deg): 90.00 90.00 90.00
Last column: nearest neighbours and their distance in Å.
Space group F-43m (No. 216)
Asymmetric unit:
Ba: 0.0000 0.0000 0.0000 x4  4 Zn 3.47, 4 Ag 3.47
Ac: 0.0000 0.0000 0.5000 x4  4 Zn 3.47, 4 Ag 3.47
Zn: 0.2500 0.2500 0.2500 x4  4 Ac 3.47, 4 Ba 3.47
Ag: 0.2500 0.2500 0.7500 x4  4 Ba 3.47, 4 Ac 3.47

Magnetic moment = 0.00 μB/atom
Energy above the lowest structure with this stoichiometry = 0.17 eV per formula unit
ΔE_f = -0.180 eV per atom

---

# 6
This record from the Alexandria database describes a relaxed KMg4Fe crystal. The functional is GGA-PBE.

a b c (Å): 8.4588 8.4588 8.4588
angles (deg): 90.00 90.00 90.00
Last column: nearest neighbours and their distance in Å.
Space group F-43m (No. 216)
Asymmetric unit:
K: 0.0000 0.0000 0.0000 x4  12 Mg 3.51, 4 Fe 3.66
Mg: 0.1232 0.1232 0.6232 x16  6 Mg 2.95-3.03
Fe: 0.2500 0.2500 0.2500 x4  12 Mg 3.50, 4 K 3.66

Magnetic moment = 0.47 μB/atom
ΔE_f = 0.513 eV per atom

---

# 7
This record from the Alexandria database describes a relaxed AcCeSn crystal. The functional is GGA-PBE.

a b c (Å): 11.1227 4.3777 8.5954
angles (deg): 90.00 111.94 90.00
Last column: nearest neighbours and their distance in Å.
Space group C2/m (No. 12)
Asymmetric unit:
Ac: 0.1642 0.0000 0.0954 x4  3 Ac 3.40-3.67, 5 Sn 3.46-3.65, 2 Ce 3.69
Ce: 0.1313 0.0000 0.5615 x4  1 Ce 2.71
Sn: 0.0023 0.5000 0.2608 x4  4 Ce 3.28-3.32, 5 Ac 3.46-3.65

Magnetic moment = 0.26 μB/atom
Energy above the lowest structure with this stoichiometry = 0.28 eV per formula unit
ΔE_f = -0.429 eV per atom

---

# 8
This record from the Alexandria database describes a relaxed Dy7Tm6 crystal. The functional is GGA-PBE.

a b c (Å): 6.4496 6.4496 34.6593
angles (deg): 90.00 90.00 120.00
Last column: nearest neighbours and their distance in Å.
Space group R-3m (No. 166, hexagonal axes)
Asymmetric unit:
Dy: 0.0000 0.0000 0.0000 x3  6 Dy 3.29
Dy: 0.0052 0.5026 0.4109 x18  5 Dy 3.17-3.29, 2 Tm 3.55
Tm: 0.0000 0.0000 0.1670 x6  6 Dy 3.58-3.63, 3 Tm 3.72
Tm: 0.0000 0.0000 0.3526 x6  1 Tm 3.51, 12 Dy 3.78-3.82
Tm: 0.0000 0.0000 0.4538 x6  2 Tm 3.21-3.51, 6 Dy 3.55

Magnetic moment = 0.00 μB/atom
ΔE_f = 0.261 eV per atom